# 1
A plane-wave DFT calculation with PBE-GGA was carried out for a relaxed structure of Re2Rh3.

CIF file:
```
data_Re2Rh3
_chemical_formula_sum 'Re2 Rh3'
_cell_length_a 7.401
_cell_length_b 7.401
_cell_length_c 7.401
_cell_angle_alpha 29.16
_cell_angle_beta 29.16
_cell_angle_gamma 29.16
_space_group_name_H-M_alt 'P 1'
_space_group_IT_number 1
_space_group_name_Hall 'P 1'
loop_
_atom_site_label
_atom_site_fract_x
_atom_site_fract_y
_atom_site_fract_z
_atom_site_occupancy
Re1 0.096 0.096 0.096 1
Re2 0.904 0.904 0.904 1
Rh1 0.290 0.290 0.290 1
Rh2 0.500 0.500 0.500 1
Rh3 0.710 0.710 0.710 1
```

Space group: R-3m
Theoretical density: 13.3 g cm⁻³
Energy: -42.288 eV for the cell shown


# 2
A plane-wave DFT calculation with PBE-GGA was carried out for a relaxed structure of LiTa2Si.

CIF file:
```
data_LiTa2Si
_chemical_formula_sum 'Li1 Ta2 Si1'
_cell_length_a 2.798
_cell_length_b 2.798
_cell_length_c 8.834
_cell_angle_alpha 90.00
_cell_angle_beta 90.00
_cell_angle_gamma 103.42
_space_group_name_H-M_alt 'P 1'
_space_group_IT_number 1
_space_group_name_Hall 'P 1'
loop_
_atom_site_label
_atom_site_fract_x
_atom_site_fract_y
_atom_site_fract_z
_atom_site_occupancy
Li1 0.000 0.000 0.000 1
Ta1 0.500 0.500 0.278 1
Ta2 0.500 0.500 0.722 1
Si1 0.000 0.000 0.500 1
```

Space group: Cmmm
ΔE_f (raw): 0.127 eV per atom
Theoretical density: 9.8 g cm⁻³
Energy: -30.535 eV for the cell shown


# 3
A plane-wave DFT calculation with PBE-GGA was carried out for a relaxed structure of KBaW2.

CIF file:
```
data_KBaW2
_chemical_formula_sum 'K1 Ba1 W2'
_cell_length_a 5.255
_cell_length_b 5.255
_cell_length_c 5.255
_cell_angle_alpha 60.00
_cell_angle_beta 60.00
_cell_angle_gamma 60.00
_space_group_name_H-M_alt 'P 1'
_space_group_IT_number 1
_space_group_name_Hall 'P 1'
loop_
_atom_site_label
_atom_site_fract_x
_atom_site_fract_y
_atom_site_fract_z
_atom_site_occupancy
K1 0.000 0.000 0.000 1
Ba1 0.500 0.500 0.500 1
W1 0.250 0.250 0.250 1
W2 0.750 0.750 0.750 1
```

Space group: Fm-3m
Theoretical density: 8.8 g cm⁻³
Energy: -17.971 eV for the cell shown


# 4
A plane-wave DFT calculation with PBE-GGA was carried out for a relaxed structure of RbY2Tl2.

CIF file:
```
data_RbY2Tl2
_chemical_formula_sum 'Rb2 Y4 Tl4'
_cell_length_a 9.750
_cell_length_b 9.750
_cell_length_c 3.474
_cell_angle_alpha 90.00
_cell_angle_beta 90.00
_cell_angle_gamma 90.00
_space_group_name_H-M_alt 'P 1'
_space_group_IT_number 1
_space_group_name_Hall 'P 1'
loop_
_atom_site_label
_atom_site_fract_x
_atom_site_fract_y
_atom_site_fract_z
_atom_site_occupancy
Rb1 0.000 0.000 0.000 1
Rb2 0.500 0.500 0.000 1
Y1 0.129 0.371 0.500 1
Y2 0.371 0.871 0.500 1
Y3 0.629 0.129 0.500 1
Y4 0.871 0.629 0.500 1
Tl1 0.169 0.669 0.000 1
Tl2 0.331 0.169 0.000 1
Tl3 0.669 0.831 0.000 1
Tl4 0.831 0.331 0.000 1
```

Space group: P4/mbm
Theoretical density: 6.8 g cm⁻³
Energy: -38.206 eV for the cell shown


# 5
A plane-wave DFT calculation with PBE-GGA was carried out for a relaxed structure of La8P3IrI4.

CIF file:
```
data_La8P3IrI4
_chemical_formula_sum 'La8 P3 Ir1 I4'
_cell_length_a 9.267
_cell_length_b 9.267
_cell_length_c 9.267
_cell_angle_alpha 55.66
_cell_angle_beta 55.66
_cell_angle_gamma 55.66
_space_group_name_H-M_alt 'P 1'
_space_group_IT_number 1
_space_group_name_Hall 'P 1'
loop_
_atom_site_label
_atom_site_fract_x
_atom_site_fract_y
_atom_site_fract_z
_atom_site_occupancy
La1 0.232 0.232 0.232 1
La2 0.237 0.728 0.728 1
La3 0.272 0.272 0.763 1
La4 0.272 0.763 0.272 1
La5 0.728 0.237 0.728 1
La6 0.728 0.728 0.237 1
La7 0.763 0.272 0.272 1
La8 0.768 0.768 0.768 1
P1 0.000 0.000 0.500 1
P2 0.000 0.500 0.000 1
P3 0.500 0.000 0.000 1
Ir1 0.500 0.500 0.500 1
I1 0.000 0.000 0.000 1
I2 0.000 0.500 0.500 1
I3 0.500 0.000 0.500 1
I4 0.500 0.500 0.000 1
```

Space group: R-3m
ΔE_f (raw): -1.330 eV per atom
Theoretical density: 6.2 g cm⁻³
Energy: -91.987 eV for the cell shown


# 6
A plane-wave DFT calculation with PBE-GGA was carried out for a relaxed structure of LiTlSn2.

CIF file:
```
data_LiTlSn2
_chemical_formula_sum 'Li2 Tl2 Sn4'
_cell_length_a 6.692
_cell_length_b 6.692
_cell_length_c 6.692
_cell_angle_alpha 100.97
_cell_angle_beta 100.97
_cell_angle_gamma 128.26
_space_group_name_H-M_alt 'P 1'
_space_group_IT_number 1
_space_group_name_Hall 'P 1'
loop_
_atom_site_label
_atom_site_fract_x
_atom_site_fract_y
_atom_site_fract_z
_atom_site_occupancy
Li1 0.000 0.000 0.000 1
Li2 0.750 0.250 0.500 1
Tl1 0.250 0.750 0.500 1
Tl2 0.500 0.500 0.000 1
Sn1 0.080 0.125 0.455 1
Sn2 0.375 0.920 0.045 1
Sn3 0.670 0.625 0.545 1
Sn4 0.875 0.330 0.955 1
```

Space group: I-42d
Theoretical density: 7.0 g cm⁻³
Energy: -24.220 eV for the cell shown


# 7
A plane-wave DFT calculation with PBE-GGA was carried out for a relaxed structure of La3SnC.

CIF file:
```
data_La3SnC
_chemical_formula_sum 'La6 Sn2 C2'
_cell_length_a 6.297
_cell_length_b 7.091
_cell_length_c 7.386
_cell_angle_alpha 61.56
_cell_angle_beta 85.26
_cell_angle_gamma 85.08
_space_group_name_H-M_alt 'P 1'
_space_group_IT_number 1
_space_group_name_Hall 'P 1'
loop_
_atom_site_label
_atom_site_fract_x
_atom_site_fract_y
_atom_site_fract_z
_atom_site_occupancy
La1 0.175 0.144 0.125 1
La2 0.281 0.193 0.594 1
La3 0.322 0.658 0.121 1
La4 0.678 0.342 0.879 1
La5 0.719 0.807 0.406 1
La6 0.825 0.856 0.875 1
Sn1 0.222 0.659 0.653 1
Sn2 0.778 0.341 0.347 1
C1 0.457 0.038 0.903 1
C2 0.543 0.962 0.097 1
```

Space group: P-1
Theoretical density: 6.3 g cm⁻³
Energy: -60.505 eV for the cell shown


# 8
A plane-wave DFT calculation with PBE-GGA was carried out for a relaxed structure of Ac2LaNdEr.

CIF file:
```
data_Ac2LaNdEr
_chemical_formula_sum 'Ac4 La2 Nd2 Er2'
_cell_length_a 6.525
_cell_length_b 8.850
_cell_length_c 6.890
_cell_angle_alpha 90.00
_cell_angle_beta 90.00
_cell_angle_gamma 90.00
_space_group_name_H-M_alt 'P 1'
_space_group_IT_number 1
_space_group_name_Hall 'P 1'
loop_
_atom_site_label
_atom_site_fract_x
_atom_site_fract_y
_atom_site_fract_z
_atom_site_occupancy
Ac1 0.250 0.208 0.215 1
Ac2 0.250 0.792 0.215 1
Ac3 0.750 0.208 0.785 1
Ac4 0.750 0.792 0.785 1
La1 0.250 0.500 0.918 1
La2 0.750 0.500 0.082 1
Nd1 0.250 0.000 0.687 1
Nd2 0.750 0.000 0.313 1
Er1 0.000 0.500 0.500 1
Er2 0.500 0.500 0.500 1
```

Space group: Pmma
Theoretical density: 7.5 g cm⁻³
Energy: -42.628 eV for the cell shown


# 9
A plane-wave DFT calculation with PBE-GGA was carried out for a relaxed structure of Nd3DyY7.

CIF file:
```
data_Nd3DyY7
_chemical_formula_sum 'Nd3 Dy1 Y7'
_cell_length_a 7.133
_cell_length_b 7.133
_cell_length_c 8.712
_cell_angle_alpha 90.00
_cell_angle_beta 90.00
_cell_angle_gamma 120.00
_space_group_name_H-M_alt 'P 1'
_space_group_IT_number 1
_space_group_name_Hall 'P 1'
loop_
_atom_site_label
_atom_site_fract_x
_atom_site_fract_y
_atom_site_fract_z
_atom_site_occupancy
Nd1 0.001 0.500 0.000 1
Nd2 0.500 0.500 0.000 1
Nd3 0.500 0.999 0.000 1
Dy1 0.333 0.667 0.337 1
Y1 0.168 0.335 0.663 1
Y2 0.168 0.832 0.663 1
Y3 0.335 0.167 0.336 1
Y4 0.665 0.832 0.663 1
Y5 0.667 0.333 0.662 1
Y6 0.833 0.167 0.336 1
Y7 0.833 0.665 0.336 1
```

Space group: P3m1
Theoretical density: 5.3 g cm⁻³
Energy: -62.196 eV for the cell shown


# 10
A plane-wave DFT calculation with PBE-GGA was carried out for a relaxed structure of RbAuI6.

CIF file:
```
data_RbAuI6
_chemical_formula_sum 'Rb1 Au1 I6'
_cell_length_a 8.217
_cell_length_b 8.217
_cell_length_c 7.506
_cell_angle_alpha 94.92
_cell_angle_beta 94.92
_cell_angle_gamma 106.21
_space_group_name_H-M_alt 'P 1'
_space_group_IT_number 1
_space_group_name_Hall 'P 1'
loop_
_atom_site_label
_atom_site_fract_x
_atom_site_fract_y
_atom_site_fract_z
_atom_site_occupancy
Rb1 0.000 0.000 0.000 1
Au1 0.000 0.000 0.500 1
I1 0.078 0.438 0.861 1
I2 0.263 0.263 0.533 1
I3 0.438 0.078 0.861 1
I4 0.562 0.922 0.139 1
I5 0.737 0.737 0.467 1
I6 0.922 0.562 0.139 1
```

Space group: C2/m
ΔE_f (raw): -0.382 eV per atom
Theoretical density: 3.6 g cm⁻³
Energy: -16.603 eV for the cell shown